# 1
This record from Alexandria describes a relaxed Dy3HoS3 crystal. The functional is PBE.

## Properties
theoretical density: 7.62 g/cm³
total energy: -42.6 eV/f.u.

Lattice parameters (Å, degrees): 10.932 10.932 5.461 90.00 90.00 90.00
Space group P4_2/mnm (No. 136)
Inequivalent atoms, fractional coordinates:
Dy: 0.120 0.373 0.000 x8
Dy: 0.127 0.127 0.500 x4
Ho: 0.122 0.878 0.000 x4
S: 0.124 0.124 0.000 x4
S: 0.126 0.627 0.000 x8



# 2
This record from Alexandria describes a relaxed DyHoS3 crystal. The functional is PBE.

## Properties
theoretical density: 6.09 g/cm³
relative energy among the computed polymorphs: 0.0000 eV per atom
total energy: -31.8 eV/f.u.

Lattice parameters (Å, degrees): 7.724 3.874 7.739 90.00 94.41 90.00
Space group P2_1/m (No. 11)
Inequivalent atoms, fractional coordinates:
Dy: 0.231 0.250 0.382 x2
Ho: 0.317 0.250 0.855 x2
S: 0.017 0.250 0.677 x2
S: 0.321 0.750 0.105 x2
S: 0.386 0.750 0.622 x2



# 3
This record from Alexandria describes a relaxed Dy2Ho6S3 crystal. The functional is PBE.

## Properties
theoretical density: 8.05 g/cm³
total energy: -60.4 eV/f.u.

Lattice parameters (Å, degrees): 3.7160 3.7160 72.9773 90.00 90.00 120.00
Space group R-3m (No. 166, hexagonal axes)
Inequivalent atoms, fractional coordinates:
Dy: 0.0000 0.0000 0.0581 x6
Ho: 0.0000 0.0000 0.1432 x6
Ho: 0.0000 0.0000 0.3142 x6
Ho: 0.0000 0.0000 0.4310 x6
S: 0.0000 0.0000 0.2124 x6
S: 0.0000 0.0000 0.5000 x3



# 4
This record from Alexandria describes a relaxed DyHoS3 crystal. The functional is PBE.

## Properties
theoretical density: 5.87 g/cm³
relative energy among the computed polymorphs: 0.0156 eV per atom
total energy: -31.7 eV/f.u.

Lattice parameters (Å, degrees): 15.881 4.088 8.315 90.00 117.40 90.00
Space group C2/m (No. 12)
Inequivalent atoms, fractional coordinates:
Dy: 0.131 0.000 0.291 x4
Ho: 0.147 0.500 0.761 x4
S: 0.045 0.500 0.362 x4
S: 0.144 0.000 0.975 x4
S: 0.234 0.000 0.656 x4



# 5
This record from Alexandria describes a relaxed Dy2HoS4 crystal. The functional is PBE.

## Properties
theoretical density: 6.13 g/cm³
relative energy among the computed polymorphs: 0.0000 eV per atom
total energy: -44.8 eV/f.u.

Lattice parameters (Å, degrees): 7.834 7.845 10.899 90.00 90.00 90.00
Space group Imma (No. 74)
Inequivalent atoms, fractional coordinates:
Dy: 0.000 0.000 0.000 x4
Dy: 0.250 0.250 0.250 x4
Ho: 0.250 0.250 0.750 x4
S: 0.000 0.001 0.748 x8
S: 0.242 0.250 0.999 x8



# 6
This record from Alexandria describes a relaxed DyHoS2 crystal. The functional is PBE.

## Properties
theoretical density: 7.79 g/cm³
relative energy among the computed polymorphs: 0.0000 eV per atom
total energy: -25.4 eV/f.u.

Lattice parameters (Å, degrees): 6.742 3.909 6.730 90.00 109.69 90.00
Space group C2/m (No. 12)
Inequivalent atoms, fractional coordinates:
Dy: 0.000 0.000 0.000 x2
Ho: 0.000 0.500 0.500 x2
S: 0.249 0.000 0.748 x4



# 7
This record from Alexandria describes a relaxed DyHo4S6 crystal. The functional is PBE.

## Properties
theoretical density: 7.01 g/cm³
total energy: -70.0 eV/f.u.

Lattice parameters (Å, degrees): 3.810 12.791 19.736 90.00 90.00 90.00
Space group Cmcm (No. 63)
Inequivalent atoms, fractional coordinates:
Dy: 0.000 0.152 0.250 x4
Ho: 0.000 0.091 0.628 x8
Ho: 0.000 0.361 0.540 x8
S: 0.000 0.000 0.000 x4
S: 0.000 0.193 0.750 x4
S: 0.000 0.270 0.089 x8
S: 0.000 0.449 0.667 x8



# 8
This record from Alexandria describes a relaxed DyHo4S4 crystal. The functional is PBE.

## Properties
theoretical density: 7.77 g/cm³
total energy: -55.2 eV/f.u.

Lattice parameters (Å, degrees): 8.620 8.620 5.464 90.00 90.00 90.00
Space group I4/m (No. 87)
Inequivalent atoms, fractional coordinates:
Dy: 0.000 0.000 0.000 x2
Ho: 0.104 0.301 0.500 x8
S: 0.098 0.302 0.000 x8



# 9
This record from Alexandria describes a relaxed Dy2Ho2S7 crystal. The functional is PBE.

## Properties
theoretical density: 6.29 g/cm³
total energy: -66.4 eV/f.u.

Lattice parameters (Å, degrees): 3.842 13.939 8.670 90.00 90.00 90.00
Space group Imm2 (No. 44)
Inequivalent atoms, fractional coordinates:
Dy: 0.000 0.244 0.000 x4
Ho: 0.000 0.000 0.237 x2
Ho: 0.000 0.500 0.183 x2
S: 0.000 0.000 0.911 x2
S: 0.000 0.110 0.510 x4
S: 0.000 0.320 0.303 x4
S: 0.000 0.361 0.683 x4



# 10
This record from Alexandria describes a relaxed Dy2Ho3S4 crystal. The functional is PBE.

## Properties
theoretical density: 7.75 g/cm³
total energy: -55.2 eV/f.u.

Lattice parameters (Å, degrees): 3.8457 3.8457 15.8593 90.00 90.00 120.00
Space group P-3m1 (No. 164)
Inequivalent atoms, fractional coordinates:
Dy: 0.3333 0.6667 0.2057 x2
Ho: 0.0000 0.0000 0.0000 x1
Ho: 0.3333 0.6667 0.5898 x2
S: 0.0000 0.0000 0.3068 x2
S: 0.3333 0.6667 0.8984 x2



# 11
This record from Alexandria describes a relaxed DyHo2S2 crystal. The functional is PBE.

## Properties
theoretical density: 7.76 g/cm³
total energy: -29.9 eV/f.u.

Lattice parameters (Å, degrees): 3.8038 3.8038 28.5001 90.00 90.00 120.00
Space group R-3m (No. 166, hexagonal axes)
Inequivalent atoms, fractional coordinates:
Dy: 0.0000 0.0000 0.0000 x3
Ho: 0.0000 0.0000 0.2161 x6
S: 0.0000 0.0000 0.3911 x6



# 12
This record from Alexandria describes a relaxed Dy3Ho2S4 crystal. The functional is PBE.

## Properties
theoretical density: 7.71 g/cm³
total energy: -55.2 eV/f.u.

Lattice parameters (Å, degrees): 3.8447 3.8447 15.9063 90.00 90.00 120.00
Space group P-3m1 (No. 164)
Inequivalent atoms, fractional coordinates:
Dy: 0.0000 0.0000 0.0000 x1
Dy: 0.3333 0.6667 0.5902 x2
Ho: 0.3333 0.6667 0.2053 x2
S: 0.0000 0.0000 0.3046 x2
S: 0.3333 0.6667 0.8969 x2